(1)
VASP calculation (SCAN) on a crystal of YFeMo2 relaxed with PBEsol.

Unit cell a=3.1434 b=3.1434 c=6.7597 alpha=90.00 beta=90.00 gamma=90.00
Last column: nearest neighbours and their distance in Å.
Fractional positions:
Fe 0.5000 0.5000 0.2053  5 Mo 2.59-2.77
Y 0.0000 0.0000 0.4916  4 Fe 2.95, 5 Mo 3.03-3.27, 4 Y 3.14
Mo 0.0000 0.0000 0.0074  4 Fe 2.59, 4 Mo 2.64
Mo 0.5000 0.5000 0.7957  4 Mo 2.64, 1 Fe 2.77



(2)
VASP calculation (SCAN) on a crystal of ZnFe6Mo relaxed with PBEsol.

Unit cell a=6.1815 b=6.1815 c=10.1130 alpha=90.00 beta=90.00 gamma=109.90
Last column: nearest neighbours and their distance in Å.
Fractional positions:
Fe 0.8727 0.6201 0.8751  8 Fe 2.49-2.56, 3 Zn 2.51-2.52, 1 Mo 2.58
Fe 0.6236 0.8729 0.3759  3 Mo 2.49-2.54, 8 Fe 2.50-2.54, 1 Zn 2.51
Fe 0.6201 0.8727 0.1249  8 Fe 2.49-2.56, 3 Zn 2.51-2.52, 1 Mo 2.58
Fe 0.1273 0.3799 0.8751  8 Fe 2.49-2.56, 3 Zn 2.51-2.52, 1 Mo 2.58
Fe 0.2507 0.7493 0.2491  8 Fe 2.49-2.54, 2 Zn 2.52, 2 Mo 2.54
Fe 0.1273 0.3799 0.1249  8 Fe 2.49-2.56, 3 Zn 2.51-2.52, 1 Mo 2.58
Fe 0.5000 0.5000 0.0000  8 Fe 2.51, 4 Zn 2.54-2.56
Fe 0.0000 0.0000 0.5000  4 Mo 2.45-2.47, 8 Fe 2.52
Fe 0.3764 0.1271 0.6241  3 Mo 2.49-2.54, 8 Fe 2.50-2.54, 1 Zn 2.51
Fe 0.5000 0.5000 0.5000  8 Fe 2.50, 2 Zn 2.51, 2 Mo 2.59
Fe 0.1271 0.3764 0.6241  3 Mo 2.49-2.54, 8 Fe 2.50-2.54, 1 Zn 2.51
Fe 0.1271 0.3764 0.3759  3 Mo 2.49-2.54, 8 Fe 2.50-2.54, 1 Zn 2.51
Fe 0.6201 0.8727 0.8751  8 Fe 2.49-2.56, 3 Zn 2.51-2.52, 1 Mo 2.58
Fe 0.6236 0.8729 0.6241  3 Mo 2.49-2.54, 8 Fe 2.50-2.54, 1 Zn 2.51
Fe 0.7493 0.2507 0.2491  8 Fe 2.49-2.54, 2 Zn 2.52, 2 Mo 2.54
Fe 0.7493 0.2507 0.7509  8 Fe 2.49-2.54, 2 Zn 2.52, 2 Mo 2.54
Fe 0.8727 0.6201 0.1249  8 Fe 2.49-2.56, 3 Zn 2.51-2.52, 1 Mo 2.58
Fe 0.2507 0.7493 0.7509  8 Fe 2.49-2.54, 2 Zn 2.52, 2 Mo 2.54
Fe 0.0000 0.0000 0.0000  2 Zn 2.50, 8 Fe 2.54, 2 Mo 2.60
Fe 0.3799 0.1273 0.8751  8 Fe 2.49-2.56, 3 Zn 2.51-2.52, 1 Mo 2.58
Fe 0.8729 0.6236 0.3759  3 Mo 2.49-2.54, 8 Fe 2.50-2.54, 1 Zn 2.51
Fe 0.8729 0.6236 0.6241  3 Mo 2.49-2.54, 8 Fe 2.50-2.54, 1 Zn 2.51
Fe 0.3764 0.1271 0.3759  3 Mo 2.49-2.54, 8 Fe 2.50-2.54, 1 Zn 2.51
Fe 0.3799 0.1273 0.1249  8 Fe 2.49-2.56, 3 Zn 2.51-2.52, 1 Mo 2.58
Zn 0.7527 0.2473 0.0000  12 Fe 2.50-2.56
Zn 0.5000 0.5000 0.7485  12 Fe 2.51-2.54
Zn 0.2473 0.7527 0.0000  12 Fe 2.50-2.56
Zn 0.5000 0.5000 0.2515  12 Fe 2.51-2.54
Mo 0.0000 0.0000 0.2575  12 Fe 2.45-2.60
Mo 0.2439 0.7561 0.5000  12 Fe 2.47-2.59
Mo 0.0000 0.0000 0.7425  12 Fe 2.45-2.60
Mo 0.7561 0.2439 0.5000  12 Fe 2.47-2.59



(3)
VASP calculation (SCAN) on a crystal of ZnFeMo relaxed with PBEsol.

Unit cell a=2.5737 b=2.5737 c=6.4083 alpha=98.68 beta=98.68 gamma=104.40
Last column: nearest neighbours and their distance in Å.
Fractional positions:
Zn 0.6598 0.6598 0.3195  2 Fe 2.52, 4 Zn 2.57, 2 Mo 2.73
Mo 0.3388 0.3388 0.6776  4 Fe 2.56-2.87, 4 Mo 2.57, 2 Zn 2.73
Fe 0.0015 0.0015 0.0029  2 Zn 2.52, 2 Mo 2.56, 4 Fe 2.57



(4)
VASP calculation (SCAN) on a crystal of Zn3FeMo relaxed with PBEsol.

Unit cell a=4.7101 b=4.7101 c=4.7101 alpha=90.00 beta=90.00 gamma=90.00
Last column: nearest neighbours and their distance in Å.
Fractional positions:
Zn 0.0000 0.5000 0.0000  2 Mo 2.36
Zn 0.0000 0.0000 0.5000  2 Mo 2.36
Zn 0.5000 0.0000 0.0000  2 Mo 2.36
Fe 0.5000 0.5000 0.5000  12 Zn 3.33
Mo 0.0000 0.0000 0.0000  6 Zn 2.36



(5)
VASP calculation (SCAN) on a crystal of ZrFe2Mo relaxed with PBEsol.

Unit cell a=3.0621 b=3.0621 c=6.1676 alpha=90.00 beta=90.00 gamma=90.00
Last column: nearest neighbours and their distance in Å.
Fractional positions:
Mo 0.0000 0.0000 0.4590  5 Fe 2.54-2.65
Fe 0.5000 0.5000 0.2428  4 Fe 2.53, 4 Mo 2.54
Fe 0.0000 0.0000 0.0299  4 Fe 2.53, 1 Mo 2.65, 4 Zr 2.70
Zr 0.5000 0.5000 0.7683  5 Fe 2.70-2.93, 4 Mo 2.89



(6)
VASP calculation (SCAN) on a crystal of ZrFeMo2 relaxed with PBEsol.

Unit cell a=2.7646 b=2.7646 c=9.5016 alpha=81.63 beta=81.63 gamma=60.00
Last column: nearest neighbours and their distance in Å.
Fractional positions:
Mo 0.2615 0.2615 0.2155  3 Fe 2.57, 6 Mo 2.76
Mo 0.7385 0.7385 0.7845  3 Fe 2.57, 6 Mo 2.76
Fe 0.0000 0.0000 0.0000  6 Mo 2.57, 6 Fe 2.76
Zr 0.5000 0.5000 0.5000  6 Zr 2.76



(7)
VASP calculation (SCAN) on a crystal of Zr9FeMo4 relaxed with PBEsol.

Unit cell a=8.2874 b=8.6854 c=8.6854 alpha=120.00 beta=90.00 gamma=90.00
Last column: nearest neighbours and their distance in Å.
Fractional positions:
Zr 0.0580 0.5959 0.7979  1 Fe 2.54
Zr 0.9420 0.4041 0.2021  1 Fe 2.54
Zr 0.5580 0.7979 0.2021  1 Fe 2.54
Zr 0.7500 0.4580 0.5420  2 Mo 2.91, 1 Fe 3.14, 10 Zr 3.18-3.25
Zr 0.4420 0.2021 0.7979  1 Fe 2.54
Zr 0.7500 0.0840 0.5420  2 Mo 2.91, 1 Fe 3.14, 10 Zr 3.18-3.25
Zr 0.7500 0.4580 0.9160  2 Mo 2.91, 1 Fe 3.14, 10 Zr 3.18-3.25
Zr 0.4420 0.2021 0.4041  1 Fe 2.54
Zr 0.0580 0.2021 0.4041  1 Fe 2.54
Zr 0.5580 0.4041 0.2021  1 Fe 2.54
Zr 0.5580 0.7979 0.5959  1 Fe 2.54
Zr 0.4420 0.5959 0.7979  1 Fe 2.54
Zr 0.2500 0.5420 0.4580  2 Mo 2.91, 1 Fe 3.14, 10 Zr 3.18-3.25
Zr 0.0580 0.2021 0.7979  1 Fe 2.54
Zr 0.9420 0.7979 0.5959  1 Fe 2.54
Zr 0.2500 0.9160 0.4580  2 Mo 2.91, 1 Fe 3.14, 10 Zr 3.18-3.25
Zr 0.2500 0.5420 0.0840  2 Mo 2.91, 1 Fe 3.14, 10 Zr 3.18-3.25
Zr 0.9420 0.7979 0.2021  1 Fe 2.54
Mo 0.5000 0.0000 0.0000  6 Mo 2.65
Mo 0.2500 0.2203 0.1101  4 Mo 2.65-2.87, 4 Zr 2.90-2.91
Mo 0.7500 0.1101 0.2203  4 Mo 2.65-2.87, 4 Zr 2.90-2.91
Mo 0.0000 0.0000 0.0000  6 Mo 2.65
Mo 0.2500 0.8899 0.7797  4 Mo 2.65-2.87, 4 Zr 2.90-2.91
Mo 0.7500 0.7797 0.8899  4 Mo 2.65-2.87, 4 Zr 2.90-2.91
Mo 0.2500 0.8899 0.1101  4 Mo 2.65-2.87, 4 Zr 2.90-2.91
Mo 0.7500 0.1101 0.8899  4 Mo 2.65-2.87, 4 Zr 2.90-2.91
Fe 0.7500 0.6667 0.3333  6 Zr 2.54
Fe 0.2500 0.3333 0.6667  6 Zr 2.54



(8)
VASP calculation (SCAN) on a crystal of FeN2 relaxed with PBEsol.

Unit cell a=2.5275 b=3.8242 c=4.5618 alpha=90.00 beta=90.00 gamma=90.00
Last column: nearest neighbours and their distance in Å.
Fractional positions:
N 0.5000 0.1307 0.5961  1 N 1.33
N 0.5000 0.8693 0.4039  1 N 1.33
N 0.0000 0.6307 0.9039  1 N 1.33
N 0.0000 0.3693 0.0961  1 N 1.33
Fe 0.5000 0.0000 0.0000  6 N 1.91-1.95
Fe 0.0000 0.5000 0.5000  6 N 1.91-1.95



(9)
VASP calculation (SCAN) on a crystal of Fe8N relaxed with PBEsol.

Unit cell a=4.9935 b=4.9935 c=4.9935 alpha=76.04 beta=67.71 gamma=112.29
Last column: nearest neighbours and their distance in Å.
Fractional positions:
Fe 0.5000 0.2500 0.2500  12 Fe 2.50-2.79
Fe 0.0000 0.2433 0.2433  1 N 1.91
Fe 0.0000 0.2931 0.7069  1 N 1.80
Fe 0.4866 0.2433 0.7567  1 N 1.91
Fe 0.0000 0.7567 0.7567  1 N 1.91
Fe 0.5134 0.7567 0.2433  1 N 1.91
Fe 0.0000 0.7069 0.2931  1 N 1.80
Fe 0.5000 0.7500 0.7500  12 Fe 2.50-2.79
N 0.0000 0.0000 0.0000  6 Fe 1.80-1.91



(10)
VASP calculation (SCAN) on a crystal of NaFeN relaxed with PBEsol.

Unit cell a=3.4820 b=4.8967 c=5.8972 alpha=114.53 beta=107.17 gamma=90.00
Last column: nearest neighbours and their distance in Å.
Fractional positions:
Fe 0.3254 0.0754 0.6508  3 N 1.77-1.83
Fe 0.6746 0.9246 0.3492  3 N 1.77-1.83
Na 0.0984 0.3484 0.1968  3 N 2.47-2.49
Na 0.9016 0.6516 0.8032  3 N 2.47-2.49
N 0.1448 0.8948 0.2896  3 Fe 1.77-1.83
N 0.8552 0.1052 0.7104  3 Fe 1.77-1.83



(11)
VASP calculation (SCAN) on a crystal of NaFeN relaxed with PBEsol.

Unit cell a=2.9649 b=2.9649 c=9.7543 alpha=90.00 beta=90.00 gamma=120.00
Last column: nearest neighbours and their distance in Å.
Fractional positions:
Fe 0.0000 0.0000 0.9819  3 N 1.77
Fe 0.0000 0.0000 0.4819  3 N 1.77
Na 0.3333 0.6667 0.2384  3 N 2.57
Na 0.6667 0.3333 0.7384  3 N 2.57
N 0.6667 0.3333 0.4351  3 Fe 1.77
N 0.3333 0.6667 0.9351  3 Fe 1.77



(12)
VASP calculation (SCAN) on a crystal of NaFeSeN2 relaxed with PBEsol.

Unit cell a=4.1358 b=4.1358 c=5.3543 alpha=90.00 beta=90.00 gamma=90.00
Last column: nearest neighbours and their distance in Å.
Fractional positions:
N 0.0000 0.5000 0.0000  2 Na 2.07
N 0.5000 0.0000 0.0000  2 Na 2.07
Se 0.0000 0.0000 0.5000  2 Na 2.68, 4 Fe 2.92
Na 0.0000 0.0000 0.0000  4 N 2.07
Fe 0.5000 0.5000 0.5000  4 Se 2.92



(13)
VASP calculation (SCAN) on a crystal of Nb4Fe2N relaxed with PBEsol.

Unit cell a=8.1918 b=8.1918 c=8.1918 alpha=60.00 beta=60.00 gamma=60.00
Last column: nearest neighbours and their distance in Å.
Fractional positions:
Nb 0.1250 0.1250 0.1250  6 Fe 2.49
Nb 0.3141 0.6859 0.3141  2 N 2.17
Nb 0.9359 0.5641 0.9359  2 N 2.17
Nb 0.1250 0.6250 0.1250  6 Fe 2.49
Nb 0.9359 0.9359 0.5641  2 N 2.17
Nb 0.6859 0.3141 0.3141  2 N 2.17
Nb 0.6859 0.6859 0.3141  2 N 2.17
Nb 0.3141 0.3141 0.6859  2 N 2.17
Nb 0.5641 0.5641 0.9359  2 N 2.17
Nb 0.1250 0.1250 0.6250  6 Fe 2.49
Nb 0.6250 0.1250 0.1250  6 Fe 2.49
Nb 0.3141 0.6859 0.6859  2 N 2.17
Nb 0.9359 0.5641 0.5641  2 N 2.17
Nb 0.5641 0.9359 0.9359  2 N 2.17
Nb 0.6859 0.3141 0.6859  2 N 2.17
Nb 0.5641 0.9359 0.5641  2 N 2.17
Fe 0.9195 0.2415 0.9195  6 Nb 2.49-2.78, 3 Fe 2.64
Fe 0.3305 0.3305 0.3305  6 Nb 2.49-2.78, 3 Fe 2.64
Fe 0.2415 0.9195 0.9195  6 Nb 2.49-2.78, 3 Fe 2.64
Fe 0.9195 0.9195 0.2415  6 Nb 2.49-2.78, 3 Fe 2.64
Fe 0.0085 0.3305 0.3305  6 Nb 2.49-2.78, 3 Fe 2.64
Fe 0.9195 0.9195 0.9195  6 Nb 2.49-2.78, 3 Fe 2.64
Fe 0.3305 0.0085 0.3305  6 Nb 2.49-2.78, 3 Fe 2.64
Fe 0.3305 0.3305 0.0085  6 Nb 2.49-2.78, 3 Fe 2.64
N 0.6250 0.1250 0.6250  6 Nb 2.17
N 0.6250 0.6250 0.6250  6 Nb 2.17
N 0.6250 0.6250 0.1250  6 Nb 2.17
N 0.1250 0.6250 0.6250  6 Nb 2.17



(14)
VASP calculation (SCAN) on a crystal of Nb3Fe3N relaxed with PBEsol.

Unit cell a=7.9015 b=7.9015 c=7.9015 alpha=60.00 beta=60.00 gamma=60.00
Last column: nearest neighbours and their distance in Å.
Fractional positions:
Nb 0.9500 0.9500 0.5500  2 N 2.15
Nb 0.5500 0.5500 0.9500  2 N 2.15
Nb 0.5500 0.9500 0.5500  2 N 2.15
Nb 0.9500 0.5500 0.5500  2 N 2.15
Nb 0.7000 0.3000 0.7000  2 N 2.15
Nb 0.7000 0.7000 0.3000  2 N 2.15
Nb 0.9500 0.5500 0.9500  2 N 2.15
Nb 0.7000 0.3000 0.3000  2 N 2.15
Nb 0.3000 0.3000 0.7000  2 N 2.15
Nb 0.3000 0.7000 0.3000  2 N 2.15
Nb 0.5500 0.9500 0.9500  2 N 2.15
Nb 0.3000 0.7000 0.7000  2 N 2.15
Fe 0.3250 0.3250 0.0251  6 Fe 2.37
Fe 0.3250 0.3250 0.3250  6 Fe 2.37
Fe 0.1250 0.6250 0.1250  6 Fe 2.37
Fe 0.9250 0.9250 0.2249  6 Fe 2.37
Fe 0.1250 0.1250 0.6250  6 Fe 2.37
Fe 0.6250 0.1250 0.1250  6 Fe 2.37
Fe 0.0251 0.3250 0.3250  6 Fe 2.37
Fe 0.9250 0.2249 0.9250  6 Fe 2.37
Fe 0.9250 0.9250 0.9250  6 Fe 2.37
Fe 0.2249 0.9250 0.9250  6 Fe 2.37
Fe 0.3250 0.0251 0.3250  6 Fe 2.37
Fe 0.1250 0.1250 0.1250  6 Fe 2.37
N 0.6250 0.1250 0.6250  6 Nb 2.15
N 0.1250 0.6250 0.6250  6 Nb 2.15
N 0.6250 0.6250 0.1250  6 Nb 2.15
N 0.6250 0.6250 0.6250  6 Nb 2.15



(15)
VASP calculation (SCAN) on a crystal of NbFeN2O relaxed with PBEsol.

Unit cell a=3.8992 b=4.0436 c=4.0436 alpha=90.00 beta=90.00 gamma=90.00
Last column: nearest neighbours and their distance in Å.
Fractional positions:
N 0.0000 0.5000 0.0000  2 Nb 2.02
N 0.0000 0.0000 0.5000  2 Nb 2.02
O 0.5000 0.0000 0.0000  2 Nb 1.95
Fe 0.5000 0.5000 0.5000  8 N 2.81, 4 O 2.86
Nb 0.0000 0.0000 0.0000  2 O 1.95, 4 N 2.02



(16)
VASP calculation (SCAN) on a crystal of NbFeNO2 relaxed with PBEsol.

Unit cell a=3.9072 b=3.9072 c=4.1125 alpha=90.00 beta=90.00 gamma=90.00
Last column: nearest neighbours and their distance in Å.
Fractional positions:
N 0.0000 0.0000 0.5000  2 Nb 2.06
Nb 0.0000 0.0000 0.0000  4 O 1.95, 2 N 2.06
O 0.5000 0.0000 0.0000  2 Nb 1.95
O 0.0000 0.5000 0.0000  2 Nb 1.95
Fe 0.5000 0.5000 0.5000  4 N 2.76, 8 O 2.84



(17)
VASP calculation (SCAN) on a crystal of NbFeSeN2 relaxed with PBEsol.

Unit cell a=3.6682 b=3.6682 c=4.6338 alpha=90.00 beta=90.00 gamma=90.00
Last column: nearest neighbours and their distance in Å.
Fractional positions:
N 0.5000 0.0000 0.0000  2 Fe 1.83
N 0.0000 0.5000 0.0000  2 Fe 1.83
Nb 0.5000 0.5000 0.5000  4 Se 2.59
Fe 0.0000 0.0000 0.0000  4 N 1.83
Se 0.0000 0.0000 0.5000  2 Fe 2.32, 4 Nb 2.59



(18)
VASP calculation (SCAN) on a crystal of NbFeTeN2 relaxed with PBEsol.

Unit cell a=3.7755 b=3.7755 c=4.9992 alpha=90.00 beta=90.00 gamma=90.00
Last column: nearest neighbours and their distance in Å.
Fractional positions:
Fe 0.0000 0.0000 0.0000  4 N 1.89
N 0.5000 0.0000 0.0000  2 Fe 1.89
N 0.0000 0.5000 0.0000  2 Fe 1.89
Te 0.0000 0.0000 0.5000  2 Fe 2.50, 4 Nb 2.67
Nb 0.5000 0.5000 0.5000  4 Te 2.67



(19)
VASP calculation (SCAN) on a crystal of NbFeTeN2 relaxed with PBEsol.

Unit cell a=3.9710 b=3.9710 c=5.7496 alpha=90.00 beta=90.00 gamma=90.00
Last column: nearest neighbours and their distance in Å.
Fractional positions:
Te 0.0000 0.0000 0.5000  4 Fe 2.81, 2 Nb 2.87
N 0.5000 0.0000 0.0000  2 Nb 1.99
N 0.0000 0.5000 0.0000  2 Nb 1.99
Fe 0.5000 0.5000 0.5000  4 Te 2.81
Nb 0.0000 0.0000 0.0000  4 N 1.99



(20)
VASP calculation (SCAN) on a crystal of NbZnFe2N relaxed with PBEsol.

Unit cell a=4.2095 b=4.2095 c=4.7621 alpha=90.00 beta=90.00 gamma=90.00
Last column: nearest neighbours and their distance in Å.
Fractional positions:
Fe 0.0000 0.5000 0.0000  2 Zn 2.10
Fe 0.5000 0.0000 0.0000  2 Zn 2.10
Zn 0.0000 0.0000 0.0000  4 Fe 2.10
Nb 0.0000 0.0000 0.5000  2 Zn 2.38
N 0.5000 0.5000 0.5000  4 Nb 2.98, 8 Fe 3.18



(21)
VASP calculation (SCAN) on a crystal of Fe2NiPdN relaxed with PBEsol.

Unit cell a=3.7693 b=3.7850 c=3.7850 alpha=90.00 beta=90.00 gamma=90.00
Last column: nearest neighbours and their distance in Å.
Fractional positions:
Ni 0.5000 0.0000 0.0000  2 N 1.88
Fe 0.0000 0.5000 0.0000  2 N 1.89
Fe 0.0000 0.0000 0.5000  2 N 1.89
N 0.0000 0.0000 0.0000  2 Ni 1.88, 4 Fe 1.89
Pd 0.5000 0.5000 0.5000  8 Fe 2.67, 4 Ni 2.68



(22)
VASP calculation (SCAN) on a crystal of FeN2O2 relaxed with PBEsol.

Unit cell a=3.4241 b=3.4241 c=4.0449 alpha=90.00 beta=90.00 gamma=90.00
Last column: nearest neighbours and their distance in Å.
Fractional positions:
Fe 0.0000 0.0000 0.0000  4 O 1.71
O 0.0000 0.5000 0.0000  2 Fe 1.71
O 0.5000 0.0000 0.0000  2 Fe 1.71
N 0.5000 0.5000 0.5000  4 N 2.42, 8 O 2.65
N 0.0000 0.0000 0.5000  2 Fe 2.02



(23)
VASP calculation (SCAN) on a crystal of Fe2PNO relaxed with PBEsol.

Unit cell a=3.7204 b=3.7026 c=3.7026 alpha=90.00 beta=90.00 gamma=90.00
Last column: nearest neighbours and their distance in Å.
Fractional positions:
Fe 0.0000 0.0000 0.5000  2 N 1.85
Fe 0.0000 0.5000 0.0000  2 N 1.85
O 0.5000 0.0000 0.0000  2 N 1.86
N 0.0000 0.0000 0.0000  4 Fe 1.85, 2 O 1.86
P 0.5000 0.5000 0.5000  4 O 2.62, 8 Fe 2.62



no.,E (eV per cell)
1,-114.57
2,-624.77
3,-66.28
4,-86.35
5,-101.56
6,-116.80
7,-869.90
8,-72.91
9,-155.32
10,-63.63
11,-63.76
12,-51.61
13,-725.50
14,-661.46
15,-76.63
16,-77.83
17,-86.19
18,-101.81
19,-104.63
20,-82.10
21,-95.58
22,-43.98
23,-59.17